(1)
Below is crystalline Li2LaTlN at its relaxed geometry, with properties calculated at the PBE level.

Computed properties:
symmetry = No. 123
formation energy from raw total energies = -0.339 eV per atom
energy = -4.229 eV per atom

a b c (Å): 4.7681 4.7681 4.6789
angles (deg): 90.00 90.00 90.00
With the nearest neighbours (Å) after each atom.
Atoms (fractional coordinates):
Li1 0.0000 0.5000 0.0000  2 N 2.38
Li2 0.5000 0.0000 0.0000  2 N 2.38
La1 0.0000 0.0000 0.5000  2 N 2.34
Tl1 0.5000 0.5000 0.5000  8 Li 3.34, 4 La 3.37
N1 0.0000 0.0000 0.0000  2 La 2.34, 4 Li 2.38

---

(2)
Below is crystalline CuAsRu2 at its relaxed geometry, with properties calculated at the PBE level.

Computed properties:
symmetry = No. 12
energy = -6.685 eV per atom
ΔE_f = 0.14 eV/atom

a b c (Å): 4.2490 4.2490 4.9598
angles (deg): 100.78 100.78 39.78
With the nearest neighbours (Å) after each atom.
Atoms (fractional coordinates):
Cu1 0.0000 0.0000 0.0000  6 Ru 2.53-2.61
As1 0.5000 0.5000 0.5000  6 Ru 2.54-2.57
Ru1 0.2448 0.2448 0.7442  3 Cu 2.53-2.61, 3 As 2.54-2.57, 2 Ru 2.84
Ru2 0.7552 0.7552 0.2558  3 Cu 2.53-2.61, 3 As 2.54-2.57, 2 Ru 2.84

---

(3)
Below is crystalline PmNd2Er6 at its relaxed geometry, with properties calculated at the PBE level.

Computed properties:
symmetry = No. 136
energy = -4.606 eV per atom
ΔE_f = 0.02 eV/atom

a b c (Å): 10.6695 10.6695 5.0519
angles (deg): 90.00 90.00 90.00
With the nearest neighbours (Å) after each atom.
Atoms (fractional coordinates):
Pm1 0.0000 0.0000 0.0000  4 Nd 3.57, 8 Er 3.57-3.58
Pm2 0.5000 0.5000 0.5000  4 Nd 3.57, 8 Er 3.57-3.58
Nd1 0.1674 0.1674 0.5000  10 Er 3.55-3.57, 2 Pm 3.57
Nd2 0.3326 0.6674 0.0000  10 Er 3.55-3.57, 2 Pm 3.57
Nd3 0.6674 0.3326 0.0000  10 Er 3.55-3.57, 2 Pm 3.57
Nd4 0.8326 0.8326 0.5000  10 Er 3.55-3.57, 2 Pm 3.57
Er1 0.0011 0.3352 0.0000  8 Er 3.52-3.58, 3 Nd 3.56-3.57, 1 Pm 3.58
Er2 0.1648 0.5011 0.5000  8 Er 3.52-3.58, 3 Nd 3.56-3.57, 1 Pm 3.58
Er3 0.1676 0.8324 0.5000  6 Er 3.54-3.58, 4 Nd 3.55-3.57, 2 Pm 3.57
Er4 0.3324 0.3324 0.0000  6 Er 3.54-3.58, 4 Nd 3.55-3.57, 2 Pm 3.57
Er5 0.3352 0.0011 0.0000  8 Er 3.52-3.58, 3 Nd 3.56-3.57, 1 Pm 3.58
Er6 0.4989 0.8352 0.5000  8 Er 3.52-3.58, 3 Nd 3.56-3.57, 1 Pm 3.58
Er7 0.5011 0.1648 0.5000  8 Er 3.52-3.58, 3 Nd 3.56-3.57, 1 Pm 3.58
Er8 0.6648 0.9989 0.0000  8 Er 3.52-3.58, 3 Nd 3.56-3.57, 1 Pm 3.58
Er9 0.6676 0.6676 0.0000  6 Er 3.54-3.58, 4 Nd 3.55-3.57, 2 Pm 3.57
Er10 0.8324 0.1676 0.5000  6 Er 3.54-3.58, 4 Nd 3.55-3.57, 2 Pm 3.57
Er11 0.8352 0.4989 0.5000  8 Er 3.52-3.58, 3 Nd 3.56-3.57, 1 Pm 3.58
Er12 0.9989 0.6648 0.0000  8 Er 3.52-3.58, 3 Nd 3.56-3.57, 1 Pm 3.58

---

(4)
Below is crystalline BeFe2Ag at its relaxed geometry, with properties calculated at the PBE level.

Computed properties:
symmetry = No. 160
energy = -5.594 eV per atom
ΔE_f = 0.28 eV/atom

a b c (Å): 8.5088 8.5088 8.5088
angles (deg): 17.86 17.86 17.86
With the nearest neighbours (Å) after each atom.
Atoms (fractional coordinates):
Be1 0.0000 0.0000 0.0000  3 Fe 2.36, 3 Ag 2.58, 6 Be 2.64
Fe1 0.4889 0.4889 0.4889  9 Fe 2.60-2.64, 3 Ag 2.83
Fe2 0.7383 0.7383 0.7383  3 Be 2.36, 9 Fe 2.60-2.64
Ag1 0.2504 0.2504 0.2504  3 Be 2.58, 6 Ag 2.64, 3 Fe 2.83

---

(5)
Below is crystalline Sr3MgGa2 at its relaxed geometry, with properties calculated at the PBE level.

Computed properties:
symmetry = No. 14
energy = -2.348 eV per atom
ΔE_f = -0.23 eV/atom

a b c (Å): 8.5502 9.5992 10.0547
angles (deg): 90.00 104.66 90.00
With the nearest neighbours (Å) after each atom.
Atoms (fractional coordinates):
Sr1 0.1520 0.1068 0.4605  5 Ga 3.28-3.39, 2 Sr 3.55-3.60
Sr2 0.1520 0.3932 0.9605  5 Ga 3.28-3.39, 2 Sr 3.55-3.60
Sr3 0.2052 0.0514 0.1122  3 Ga 3.28-3.39, 1 Sr 3.60
Sr4 0.2052 0.4486 0.6122  3 Ga 3.28-3.39, 1 Sr 3.60
Sr5 0.2823 0.7126 0.3322  4 Ga 3.40-3.66, 2 Mg 3.62-3.66
Sr6 0.2823 0.7874 0.8322  4 Ga 3.40-3.66, 2 Mg 3.62-3.66
Sr7 0.7177 0.2126 0.1678  4 Ga 3.40-3.66, 2 Mg 3.62-3.66
Sr8 0.7177 0.2874 0.6678  4 Ga 3.40-3.66, 2 Mg 3.62-3.66
Sr9 0.7948 0.5514 0.3878  3 Ga 3.28-3.39, 1 Sr 3.60
Sr10 0.7948 0.9486 0.8878  3 Ga 3.28-3.39, 1 Sr 3.60
Sr11 0.8480 0.6068 0.0395  5 Ga 3.28-3.39, 2 Sr 3.55-3.60
Sr12 0.8480 0.8932 0.5395  5 Ga 3.28-3.39, 2 Sr 3.55-3.60
Mg1 0.4058 0.1468 0.8219  3 Ga 2.77-3.08
Mg2 0.4058 0.3532 0.3219  3 Ga 2.77-3.08
Mg3 0.5942 0.6468 0.6781  3 Ga 2.77-3.08
Mg4 0.5942 0.8532 0.1781  3 Ga 2.77-3.08
Ga1 0.0740 0.1120 0.7699  1 Mg 2.77
Ga2 0.0740 0.3880 0.2699  1 Mg 2.77
Ga3 0.4872 0.5601 0.1154  1 Ga 2.65
Ga4 0.4872 0.9399 0.6154  1 Ga 2.65
Ga5 0.5128 0.0601 0.3846  1 Ga 2.65
Ga6 0.5128 0.4399 0.8846  1 Ga 2.65
Ga7 0.9260 0.6120 0.7301  1 Mg 2.77
Ga8 0.9260 0.8880 0.2301  1 Mg 2.77

---

(6)
Below is crystalline TbHo2MgBi4 at its relaxed geometry, with properties calculated at the PBE level.

Computed properties:
symmetry = No. 10
energy = -4.466 eV per atom
ΔE_f = -0.60 eV/atom

a b c (Å): 7.7462 4.4293 7.7733
angles (deg): 90.00 109.83 90.00
With the nearest neighbours (Å) after each atom.
Atoms (fractional coordinates):
Tb1 0.0000 0.0000 0.0000  6 Bi 3.15-3.19
Ho1 0.0000 0.5000 0.5000  6 Bi 3.18-3.19
Ho2 0.5000 0.0000 0.5000  6 Bi 3.13-3.16
Mg1 0.5000 0.5000 0.0000  6 Bi 3.10-3.16
Bi1 0.2524 0.5000 0.2507  3 Ho 3.13-3.19, 2 Tb 3.15, 1 Mg 3.16
Bi2 0.2573 0.0000 0.7555  2 Mg 3.10, 3 Ho 3.16-3.18, 1 Tb 3.19
Bi3 0.7427 0.0000 0.2445  2 Mg 3.10, 3 Ho 3.16-3.18, 1 Tb 3.19
Bi4 0.7476 0.5000 0.7493  3 Ho 3.13-3.19, 2 Tb 3.15, 1 Mg 3.16

---

> Look up the energy of the fifth one.

-2.348 eV per atom